Entry 1:
Entry from Alexandria via LeMat-Bulk: crystalline Sc4TlGaH at its relaxed geometry (PBE-GGA).

**Total energy**: -73.61 eV for the cell shown
**Density of states at the Fermi level**: 0.6374 states/eV per atom
**Space group**: Cmcm
**Total magnetic moment**: 0.000 μB per atom
**Calculated density**: 5.5 g cm⁻³

abc: 8.315 8.315 5.947
angles: 90.00 90.00 138.11
Fractional coordinates of all 14 atoms:
Sc  0.000  0.500  0.000
Sc  0.000  0.500  0.500
Sc  0.069  0.931  0.750
Sc  0.422  0.578  0.750
Sc  0.500  0.000  0.000
Sc  0.500  0.000  0.500
Sc  0.578  0.422  0.250
Sc  0.931  0.069  0.250
Tl  0.390  0.610  0.250
Tl  0.610  0.390  0.750
Ga  0.118  0.882  0.250
Ga  0.882  0.118  0.750
H  0.286  0.714  0.750
H  0.714  0.286  0.250

Entry 2:
Entry from Alexandria via LeMat-Bulk: crystalline Sc2VGaH at its relaxed geometry (PBE-GGA).

**Total energy**: -29.58 eV for the cell shown
**Density of states at the Fermi level**: 1.2075 states/eV per atom
**Space group**: P4/mmm
**Total magnetic moment**: 0.366 μB per atom
**Calculated density**: 4.7 g cm⁻³

abc: 4.465 4.465 3.783
angles: 90.00 90.00 90.00
Fractional coordinates of all 5 atoms:
Sc  0.000  0.500  0.000
Sc  0.500  0.000  0.000
V  0.000  0.000  0.500
Ga  0.500  0.500  0.500
H  0.000  0.000  0.000